Entry 1:
Sm3YTl2O | PBE-GGA | optimized geometry

abc: 4.6804 4.7679 16.7288
angles: 90.00 90.00 90.00
Space group Immm (No. 71)
Unique sites:
Sm  0.0000  0.0000  0.0000 [2 per cell]
Sm  0.0000  0.5000  0.1715 [4 per cell]
Y  0.0000  0.0000  0.5000 [2 per cell]
Tl  0.0000  0.5000  0.3615 [4 per cell]
O  0.0000  0.5000  0.0000 [2 per cell]

- uncorrected formation energy (eV/atom) = -1.058
- DOS at the Fermi energy (states/eV/atom) = 0.39
- mass density (g/cm3) = 8.6
- total magnetization (μB/f.u.) = 0.000

---

Entry 2:
Al4NiAu | PBE-GGA | optimized geometry

abc: 4.0761 4.0761 6.1172
angles: 90.00 90.00 90.00
Space group P4/mmm (No. 123)
Unique sites:
Al  0.0000  0.5000  0.2227 [4 per cell]
Ni  0.0000  0.0000  0.0000 [1 per cell]
Au  0.5000  0.5000  0.5000 [1 per cell]

- DOS at the Fermi energy (states/eV/atom) = 0.36
- relative energy among the computed polymorphs (meV per atom) = 0.0
- mass density (g/cm3) = 5.9
- energy relative to the elements (eV/atom) = -0.4473
- total magnetization (μB/f.u.) = 0.000